w.
Here is a PBEsol-optimized structure of Ba2SrCl from the Alexandria database. Energies are from meta-GGA SCAN.

Calculated values
Size of the total moment: 0.22 μB/atom
Calculated volume: 47.70 A^3/atom

Cell: 8.213 8.213 8.213 Å, 143.95 143.95 51.91°
Sites, in units of the cell vectors:
Ba 0.000 0.000 0.000
Ba 0.750 0.250 0.500
Sr 0.250 0.750 0.500
Cl 0.500 0.500 0.000

***

x.
Here is a PBEsol-optimized structure of Ba2SrCl from the Alexandria database. Energies are from meta-GGA SCAN.

Calculated values
Size of the total moment: 0.00 μB/atom
Calculated volume: 46.14 A^3/atom

Cell: 4.271 6.252 6.913 Å, 90.00 90.00 90.00°
Sites, in units of the cell vectors:
Ba 0.000 0.000 0.000
Ba 0.500 0.000 0.500
Sr 0.000 0.500 0.500
Cl 0.500 0.500 0.000

***

y.
Here is a PBEsol-optimized structure of Ba2SrCl from the Alexandria database. Energies are from meta-GGA SCAN.

Calculated values
Size of the total moment: 0.35 μB/atom
Calculated volume: 50.40 A^3/atom

Cell: 4.336 4.336 10.725 Å, 90.00 90.00 90.00°
Sites, in units of the cell vectors:
Ba 0.000 0.000 0.000
Ba 0.500 0.500 0.305
Sr 0.500 0.500 0.716
Cl 0.000 0.000 0.307

***

y is the most stable structure; the next one sits 33.8 kJ/mol of atoms above it.

***

w.
Here is a PBEsol-optimized structure of BaSr2Cl from the Alexandria database. Energies are from meta-GGA SCAN.

Calculated values
Size of the total moment: 0.05 μB/atom
Calculated volume: 46.46 A^3/atom

Cell: 7.477 7.477 7.477 Å, 148.25 121.11 68.46°
Sites, in units of the cell vectors:
Ba 0.000 0.000 0.000
Sr 0.376 0.376 0.000
Sr 0.682 0.182 0.500
Cl 0.198 0.698 0.500

***

x.
Here is a PBEsol-optimized structure of BaSr2Cl from the Alexandria database. Energies are from meta-GGA SCAN.

Calculated values
Size of the total moment: 0.23 μB/atom
Calculated volume: 41.37 A^3/atom

Cell: 11.415 11.415 11.415 Å, 20.89 20.89 20.89°
Sites, in units of the cell vectors:
Ba 0.000 0.000 0.000
Sr 0.229 0.229 0.229
Sr 0.771 0.771 0.771
Cl 0.500 0.500 0.500

***

y.
Here is a PBEsol-optimized structure of BaSr2Cl from the Alexandria database. Energies are from meta-GGA SCAN.

Calculated values
Size of the total moment: 0.00 μB/atom
Calculated volume: 43.84 A^3/atom

Cell: 7.403 7.403 7.403 Å, 148.92 122.06 67.22°
Sites, in units of the cell vectors:
Ba 0.000 0.000 0.000
Sr 0.308 0.808 0.500
Sr 0.692 0.192 0.500
Cl 0.500 0.500 0.000

***

x is the most stable structure; the next one sits 10.1 kJ/mol of atoms above it.

***

w.
Here is a PBEsol-optimized structure of BaTaCl2 from the Alexandria database. Energies are from meta-GGA SCAN.

Calculated values
Size of the total moment: 0.81 μB/atom
Calculated volume: 26.27 A^3/atom

Cell: 6.685 6.685 6.685 Å, 143.50 143.50 52.58°
Sites, in units of the cell vectors:
Ba 0.000 0.000 0.000
Ta 0.250 0.750 0.500
Cl 0.500 0.500 0.000
Cl 0.750 0.250 0.500

***

x.
Here is a PBEsol-optimized structure of BaTaCl2 from the Alexandria database. Energies are from meta-GGA SCAN.

Calculated values
Size of the total moment: 0.06 μB/atom
Calculated volume: 22.41 A^3/atom

Cell: 7.394 7.394 7.394 Å, 154.49 148.94 40.61°
Sites, in units of the cell vectors:
Ba 0.000 0.000 0.000
Ta 0.765 0.265 0.500
Cl 0.189 0.689 0.500
Cl 0.368 0.368 0.000

***

y.
Here is a PBEsol-optimized structure of BaTaCl2 from the Alexandria database. Energies are from meta-GGA SCAN.

Calculated values
Size of the total moment: 1.25 μB/atom
Calculated volume: 25.52 A^3/atom

Cell: 5.246 5.246 5.246 Å, 60.00 60.00 60.00°
Sites, in units of the cell vectors:
Ba 0.000 0.000 0.000
Ta 0.500 0.500 0.500
Cl 0.250 0.250 0.250
Cl 0.750 0.750 0.750

***

x is the most stable structure; the next one sits 11.3 kJ/mol of atoms above it.

***

w.
Here is a PBEsol-optimized structure of BaTaCl2 from the Alexandria database. Energies are from meta-GGA SCAN.

Calculated values
Size of the total moment: 0.00 μB/atom
Calculated volume: 27.59 A^3/atom

Cell: 8.401 8.401 8.401 Å, 142.25 142.25 54.45°
Sites, in units of the cell vectors:
Ba 0.000 0.000 0.000
Ba 0.750 0.250 0.500
Ta 0.250 0.750 0.500
Ta 0.500 0.500 0.000
Cl 0.258 0.625 0.133
Cl 0.375 0.508 0.633
Cl 0.492 0.125 0.867
Cl 0.875 0.742 0.367

***

x.
Here is a PBEsol-optimized structure of BaTaCl2 from the Alexandria database. Energies are from meta-GGA SCAN.

Calculated values
Size of the total moment: 0.00 μB/atom
Calculated volume: 24.03 A^3/atom

Cell: 5.946 5.946 5.946 Å, 148.09 118.63 70.85°
Sites, in units of the cell vectors:
Ba 0.000 0.000 0.000
Ta 0.500 0.500 0.000
Cl 0.306 0.806 0.500
Cl 0.694 0.194 0.500

***

x is the most stable structure; the next one sits 19.6 kJ/mol of atoms above it.

***

w.
Here is a PBEsol-optimized structure of BaTa2Cl from the Alexandria database. Energies are from meta-GGA SCAN.

Calculated values
Size of the total moment: 0.00 μB/atom
Calculated volume: 24.09 A^3/atom

Cell: 3.226 8.417 8.417 Å, 24.94 90.00 90.00°
Sites, in units of the cell vectors:
Ba 0.000 0.000 0.000
Ta 0.000 0.235 0.235
Ta 0.500 0.656 0.656
Cl 0.500 0.364 0.364

***

x.
Here is a PBEsol-optimized structure of BaTa2Cl from the Alexandria database. Energies are from meta-GGA SCAN.

Calculated values
Size of the total moment: 0.00 μB/atom
Calculated volume: 26.25 A^3/atom

Cell: 3.214 4.624 7.066 Å, 90.00 90.00 90.00°
Sites, in units of the cell vectors:
Ba 0.000 0.000 0.000
Ta 0.000 0.500 0.500
Ta 0.500 0.000 0.500
Cl 0.500 0.500 0.000

***

w is the most stable structure; the next one sits 39.0 kJ/mol of atoms above it.

***

w.
Here is a PBEsol-optimized structure of BaTa2Cl from the Alexandria database. Energies are from meta-GGA SCAN.

Calculated values
Size of the total moment: 0.00 μB/atom
Calculated volume: 25.83 A^3/atom

Cell: 3.499 3.499 8.438 Å, 90.00 90.00 90.00°
Sites, in units of the cell vectors:
Ba 0.000 0.000 0.000
Ta 0.000 0.000 0.562
Ta 0.500 0.500 0.685
Cl 0.500 0.500 0.225

***

x.
Here is a PBEsol-optimized structure of BaTa2Cl from the Alexandria database. Energies are from meta-GGA SCAN.

Calculated values
Size of the total moment: 0.32 μB/atom
Calculated volume: 28.03 A^3/atom

Cell: 7.738 7.738 7.738 Å, 150.50 150.50 42.21°
Sites, in units of the cell vectors:
Ba 0.000 0.000 0.000
Ta 0.250 0.750 0.500
Ta 0.750 0.250 0.500
Cl 0.500 0.500 0.000

***

y.
Here is a PBEsol-optimized structure of BaTa2Cl from the Alexandria database. Energies are from meta-GGA SCAN.

Calculated values
Size of the total moment: 0.00 μB/atom
Calculated volume: 28.13 A^3/atom

Cell: 3.939 3.939 7.251 Å, 90.00 90.00 90.00°
Sites, in units of the cell vectors:
Ba 0.000 0.000 0.000
Ta 0.000 0.500 0.500
Ta 0.500 0.000 0.500
Cl 0.500 0.500 0.000

***

w is the most stable structure; the next one sits 45.3 kJ/mol of atoms above it.